Record 1
Material: GaAg2HgF8
Method: DFT, PBE-GGA
State: optimized geometry

Results
energy: -44.3 eV for the cell shown
total magnetization: 1.01 μB/f.u.
symmetry: No. 10

The structure in POSCAR format:
```
GaAg2HgF8
1.0
-0.418 3.823 -3.371
-5.226 -0.134 1.093
0.947 4.595 5.094
Ag F Ga Hg
2 8 1 1
Cartesian
-2.597 2.936 0.071
-2.100 5.348 2.745
-3.380 4.835 0.974
-1.004 4.059 -1.555
-4.255 1.504 1.354
-0.627 5.606 4.474
-0.443 6.780 1.461
-3.694 4.225 4.371
-4.071 2.678 -1.659
-1.317 3.449 1.841
0.000 0.000 0.000
0.473 2.297 2.547
```

---

Record 2
Material: GaAgHg2F8
Method: DFT, PBE-GGA
State: optimized geometry

Results
energy: -42.4 eV for the cell shown
total magnetization: 0.00 μB/f.u.
symmetry: No. 2

The structure in POSCAR format:
```
GaAgHg2F8
1.0
-2.502 4.310 -0.972
-4.092 -1.805 2.577
2.776 2.820 6.104
F Hg Ga Ag
8 2 1 1
Cartesian
-0.482 5.458 4.582
0.962 3.488 6.532
-2.284 3.758 0.849
-3.168 3.129 4.110
-4.780 1.837 1.177
-0.650 2.196 3.599
-3.336 -0.134 3.127
-1.534 1.566 6.860
-2.549 1.912 2.279
-1.268 3.412 5.430
0.000 0.000 0.000
1.388 1.410 3.052
```

---

Record 3
Material: GaAg2HgF6
Method: DFT, PBE-GGA
State: optimized geometry

Results
energy: -36.7 eV for the cell shown
total magnetization: 0.00 μB/f.u.
symmetry: No. 2

The structure in POSCAR format:
```
GaAg2HgF6
1.0
-6.408 -2.281 -0.209
-3.315 -3.395 4.478
-4.284 2.034 3.037
Ag F Hg Ga
2 6 1 1
Cartesian
-4.229 1.490 3.163
-6.643 -2.835 2.885
-6.226 -0.987 4.345
-4.649 -0.359 1.705
-2.236 -0.468 0.469
-8.637 -0.877 5.581
-8.415 -0.308 2.897
-8.866 -3.316 2.943
-10.298 -3.510 5.158
-3.294 -1.689 1.506
```

---

Record 4
Material: InGa2AgF8
Method: DFT, PBE-GGA
State: optimized geometry

Results
energy: -52.3 eV for the cell shown
total magnetization: 0.13 μB/f.u.
symmetry: No. 147

The structure in POSCAR format:
```
InGa2AgF8
1.0
-2.565 -3.306 -3.884
4.026 -2.193 3.404
-5.806 -2.027 5.560
F Ga In Ag
8 2 1 1
Cartesian
-1.369 -5.087 0.284
-2.976 -2.440 4.795
-3.956 -4.584 6.514
-1.501 -2.264 1.176
-2.845 -5.262 3.903
-0.390 -2.943 -1.434
-1.082 -4.316 6.089
-3.264 -3.211 -1.010
-2.696 -4.144 5.307
-1.650 -3.383 -0.228
0.000 0.000 0.000
-2.903 -1.014 2.780
```

---

Record 5
Material: InGaAgF6
Method: DFT, PBE-GGA
State: optimized geometry

Results
energy: -77.0 eV for the cell shown
total magnetization: 0.00 μB/f.u.
symmetry: No. 163

The structure in POSCAR format:
```
InGaAgF6
1.0
5.752 0.000 0.000
-2.876 4.981 0.000
0.000 0.000 9.874
Ag F Ga In
2 12 2 2
Cartesian
0.000 0.000 0.000
0.000 0.000 4.937
1.250 1.737 3.546
0.879 1.952 8.483
1.626 3.244 6.328
1.997 3.030 1.391
3.622 0.214 3.546
-1.626 3.244 8.483
-0.746 4.767 6.328
2.130 0.214 1.391
0.746 4.767 8.483
4.502 1.737 1.391
-0.879 1.952 6.328
3.755 3.030 3.546
2.876 1.660 2.468
0.000 3.321 7.405
2.876 1.660 7.405
0.000 3.321 2.468
```

---

Record 6
Material: KGaAgF6
Method: DFT, PBE-GGA
State: optimized geometry

Results
energy: -38.0 eV for the cell shown
total magnetization: 1.04 μB/f.u.
symmetry: No. 1

The structure in POSCAR format:
```
KGaAgF6
1.0
-0.599 -4.618 3.105
-2.849 -4.672 -2.022
4.791 -1.840 -1.977
F Ga K Ag
6 1 1 1
Cartesian
0.396 -2.395 -1.218
0.811 -3.583 1.179
2.940 -3.038 -0.326
-0.418 -5.075 -0.784
2.121 -5.665 -0.230
1.604 -4.275 -2.500
1.257 -4.046 -0.575
-2.840 -4.698 -1.978
0.100 -7.124 -0.251
```

---

Record 7
Material: K2Ga3AgF12
Method: DFT, PBE-GGA
State: optimized geometry

Results
energy: -82.2 eV for the cell shown
total magnetization: 0.14 μB/f.u.
symmetry: No. 166

The structure in POSCAR format:
```
K2Ga3AgF12
1.0
7.214 -0.106 -0.076
3.470 6.325 -0.076
3.470 2.020 5.995
F Ga K Ag
12 3 2 1
Cartesian
10.862 6.323 2.404
5.690 5.950 4.220
8.464 2.289 1.624
7.983 4.647 0.502
6.171 3.592 5.342
5.000 0.947 0.671
3.292 3.880 0.671
9.154 7.292 5.172
10.862 4.359 5.172
7.983 2.010 4.220
3.292 1.916 3.440
6.171 6.229 1.624
1.735 3.163 -0.038
3.607 -0.053 -0.038
1.735 1.010 2.997
5.321 3.097 2.197
8.833 5.142 3.647
0.000 0.000 0.000
```

---

Record 8
Material: KGaAg2F8
Method: DFT, PBE-GGA
State: optimized geometry

Results
energy: -47.4 eV for the cell shown
total magnetization: 0.00 μB/f.u.
symmetry: No. 2

The structure in POSCAR format:
```
KGaAg2F8
1.0
4.894 0.059 0.263
0.116 5.283 0.521
0.460 0.772 7.318
Ga F Ag K
1 8 2 1
Cartesian
0.000 0.000 0.000
0.723 4.190 1.942
3.486 4.133 0.620
2.838 4.273 4.054
3.992 1.141 1.606
1.983 1.980 7.481
1.477 4.972 6.496
4.746 1.924 6.159
2.631 1.841 4.048
3.052 2.959 2.311
2.417 3.155 5.790
0.230 0.386 3.659
```

---

Record 9
Material: LaGaAg2F8
Method: DFT, PBE-GGA
State: optimized geometry

Results
energy: -59.0 eV for the cell shown
total magnetization: 0.00 μB/f.u.
symmetry: No. 10

The structure in POSCAR format:
```
LaGaAg2F8
1.0
-0.996 -2.129 3.927
4.670 -3.266 -1.004
4.036 4.677 3.559
Ag F La Ga
2 8 1 1
Cartesian
4.973 0.936 4.227
2.738 -1.654 2.256
3.206 1.199 6.038
0.574 -1.359 1.135
0.884 -1.491 3.991
5.016 -1.370 3.254
2.695 0.652 3.228
4.505 -1.916 0.444
3.100 -4.036 1.788
6.826 0.774 2.491
2.018 2.339 1.780
0.000 0.000 0.000
```

---

Record 10
Material: Li2GaAgF8
Method: DFT, PBE-GGA
State: optimized geometry

Results
energy: -50.3 eV for the cell shown
total magnetization: 0.00 μB/f.u.
symmetry: No. 119

The structure in POSCAR format:
```
Li2GaAgF8
1.0
-2.659 -0.139 5.154
0.258 -5.618 -1.424
5.212 2.541 0.195
F Li Ga Ag
8 2 1 1
Cartesian
3.247 1.375 1.656
1.216 -2.055 4.165
1.678 1.448 3.841
-0.886 -0.873 4.637
0.431 -2.513 0.923
3.019 -1.903 1.562
0.697 0.525 1.785
-1.075 -3.392 3.709
0.676 -0.239 3.607
-1.200 -2.879 1.865
2.135 -2.978 0.318
0.000 0.000 0.000
```

---

Record 11
Material: LiGaAgF6
Method: DFT, PBE-GGA
State: optimized geometry

Results
energy: -77.4 eV for the cell shown
total magnetization: 1.02 μB/f.u.
symmetry: No. 163

The structure in POSCAR format:
```
LiGaAgF6
1.0
-3.772 3.080 -1.816
-0.413 -2.097 4.738
4.378 7.560 3.728
F Li Ag Ga
12 2 2 2
Cartesian
-0.779 2.139 -0.068
0.059 3.126 2.336
2.582 4.112 4.082
0.134 5.416 4.313
-0.881 4.702 0.243
-2.111 1.723 2.340
0.972 6.403 6.718
1.074 3.840 6.406
-3.247 3.345 0.384
-2.389 4.430 2.567
2.304 6.820 4.309
3.439 5.197 6.266
0.631 7.024 3.164
-0.438 1.518 3.485
0.000 0.000 0.000
2.189 3.780 1.864
-1.558 3.244 1.300
1.751 5.298 5.349
```

---

Record 12
Material: LiGaAg2F6
Method: DFT, PBE-GGA
State: optimized geometry

Results
energy: -85.0 eV for the cell shown
total magnetization: 0.00 μB/f.u.
symmetry: No. 14

The structure in POSCAR format:
```
LiGaAg2F6
1.0
5.588 0.000 -0.015
0.000 5.588 0.000
0.030 0.000 7.972
F Ag Ga Li
12 4 2 2
Cartesian
1.595 3.876 0.161
5.358 2.849 1.899
1.076 1.197 0.169
2.579 5.533 5.892
1.733 3.991 3.809
3.039 0.055 2.064
4.023 1.712 7.796
1.214 1.082 3.817
0.260 2.739 6.058
4.404 4.506 4.139
3.885 1.598 4.148
4.542 4.392 7.787
0.011 5.487 1.995
2.820 2.895 5.973
5.607 0.101 5.962
2.798 2.693 1.983
0.000 2.794 0.000
2.809 0.000 3.978
2.794 0.000 -0.008
0.015 2.794 3.986
```

---

Record 13
Material: MgGaAg2F6
Method: DFT, PBE-GGA
State: optimized geometry

Results
energy: -84.7 eV for the cell shown
total magnetization: 0.00 μB/f.u.
symmetry: No. 14

The structure in POSCAR format:
```
MgGaAg2F6
1.0
-1.958 4.550 -2.822
-4.208 -3.165 -2.184
-4.689 1.889 6.299
F Ag Ga Mg
12 4 2 2
Cartesian
-3.631 -1.196 -2.286
-5.189 3.378 -2.338
-7.036 1.962 -0.590
-4.872 3.533 0.551
-5.666 -0.104 3.631
-8.658 0.466 1.131
-3.819 1.312 1.883
-7.225 4.470 3.579
-9.305 2.962 2.482
-1.550 0.312 -1.189
-5.983 -0.258 0.743
-2.197 2.809 0.163
-6.603 2.109 2.220
-5.476 5.964 1.902
-4.252 1.165 -0.926
-5.379 -2.690 -0.608
-2.104 -1.582 -1.092
-3.323 3.219 1.739
-0.979 2.275 -1.411
-4.449 -0.638 2.057
```